Entry 1:
Pr2PuSn after structural relaxation. Source: Alexandria via LeMat-Bulk, functional PBE-GGA.

Calculated values
**Final energy**: -6.90 eV per atom
**Energy of formation**: 0.077 eV per atom
**Crystal system**: trigonal

```
4
Lattice="3.4756 0.0000 0.0000 1.7378 3.0099 0.0000 1.7378 1.0033 12.1264" Properties=species:S:1:pos:R:3 pbc="T T T"
Pr 1.7378 1.0033 8.7796
Pr 5.2134 3.0099 3.3468
Sn 3.4756 2.0066 6.0632
Pu 0.0000 0.0000 0.0000
```


Entry 2:
BeCuSiIr after structural relaxation. Source: Alexandria via LeMat-Bulk, functional PBE-GGA.

Calculated values
**Final energy**: -5.81 eV per atom
**Formation energy from raw total energies**: -0.29 eV per atom
**Crystal system**: cubic

```
4
Lattice="4.0577 0.0000 0.0000 2.0288 3.5141 0.0000 2.0288 1.1714 3.3131" Properties=species:S:1:pos:R:3 pbc="T T T"
Be 0.0000 0.0000 0.0000
Si 4.0577 2.3427 1.6565
Ir 6.0865 3.5141 2.4848
Cu 2.0288 1.1714 0.8283
```


Entry 3:
PmSmYTm after structural relaxation. Source: Alexandria via LeMat-Bulk, functional PBE-GGA.

Calculated values
**Final energy**: -4.98 eV per atom
**Energy of formation**: 0.125 eV per atom
**Crystal system**: monoclinic

```
4
Lattice="-3.1730 -1.5542 1.1218 3.0642 -4.0326 3.0800 -3.1828 4.8291 3.7850" Properties=species:S:1:pos:R:3 pbc="T T T"
Pm -3.4134 1.2270 5.0023
Sm -0.2951 -0.1423 5.8115
Y -1.8153 0.1260 1.9710
Tm -1.8628 -2.6514 4.0860
```


Entry 4:
GaPtI2O after structural relaxation. Source: Alexandria via LeMat-Bulk, functional PBE-GGA.

Calculated values
**Final energy**: -3.35 eV per atom
**Formation energy from raw total energies**: 0.08 eV per atom
**Crystal system**: tetragonal

```
5
Lattice="5.6644 0.0000 0.0000 0.0000 5.6644 0.0000 0.0000 0.0000 3.5182" Properties=species:S:1:pos:R:3 pbc="T T T"
I 0.0000 2.8322 0.0000
I 2.8322 0.0000 0.0000
O 0.0000 0.0000 1.7591
Ga 0.0000 0.0000 0.0000
Pt 2.8322 2.8322 1.7591
```


Entry 5:
SrAc2Zn3 after structural relaxation. Source: Alexandria via LeMat-Bulk, functional PBE-GGA.

Calculated values
**Final energy**: -2.52 eV per atom
**Energy of formation**: -0.232 eV per atom
**Crystal system**: tetragonal

```
6
Lattice="3.9171 0.0000 0.0000 0.0000 3.9171 0.0000 0.0000 0.0000 11.7486" Properties=species:S:1:pos:R:3 pbc="T T T"
Sr 1.9586 1.9586 5.8743
Ac 1.9586 1.9586 9.8151
Ac 1.9586 1.9586 1.9335
Zn 0.0000 0.0000 0.0000
Zn 0.0000 0.0000 7.9080
Zn 0.0000 0.0000 3.8406
```


Entry 6:
Ca3InP3 after structural relaxation. Source: Alexandria via LeMat-Bulk, functional PBE-GGA.

Calculated values
**Final energy**: -4.53 eV per atom
**Energy of formation**: -0.960 eV per atom
**Crystal system**: orthorhombic

```
28
Lattice="-3.0137 0.3015 -2.8456 -7.0419 -7.1820 6.6969 -4.9756 10.8655 6.4207" Properties=species:S:1:pos:R:3 pbc="T T T"
Ca -8.2524 -5.7850 3.5749
Ca -9.1162 -2.1490 4.8750
Ca -7.1567 3.1022 3.3561
Ca -7.8745 0.8829 6.9158
Ca -6.7788 9.7700 6.6970
Ca -8.2847 6.7154 7.9682
Ca -10.3286 -0.1013 9.4106
Ca -6.7465 -2.7303 2.3037
Ca -5.9150 6.1340 5.3969
Ca -9.8306 3.4049 9.2546
Ca -4.7026 4.0863 0.8614
Ca -5.2006 0.5801 1.0173
In -5.4124 0.1057 4.2259
In -6.5954 8.5568 3.3396
In -9.6188 3.8793 6.0460
In -8.4358 -4.5717 6.9323
P -11.7563 2.7038 11.2198
P -7.9789 0.2739 3.9272
P -4.3305 2.3424 3.3172
P -8.3847 7.8652 5.1613
P -4.1055 -1.5423 2.6673
P -8.9899 -2.1560 7.7751
P -6.6465 -3.8801 5.1106
P -10.9257 5.5273 7.6046
P -10.7007 1.6427 6.9547
P -7.0523 3.7112 6.3447
P -6.0413 6.1410 2.4969
P -3.2749 1.2813 -0.9479
```


Entry 7:
TbPm2HfAs4 after structural relaxation. Source: Alexandria via LeMat-Bulk, functional PBE-GGA.

Calculated values
**Final energy**: -6.73 eV per atom
**Energy of formation**: -1.393 eV per atom
**Crystal system**: monoclinic

```
8
Lattice="4.0944 0.0000 0.0000 0.0000 7.0946 0.1340 0.0000 -2.4687 6.6641" Properties=species:S:1:pos:R:3 pbc="T T T"
Tb 2.0472 3.5473 0.0670
Pm 2.0472 -1.2344 3.3321
Pm 0.0000 2.3129 3.3991
Hf 0.0000 0.0000 0.0000
As 2.0472 1.0924 1.5628
As 2.0472 3.5334 5.2354
As 0.0000 -0.1514 5.1240
As 0.0000 4.7772 1.6742
```


Entry 8:
K4SBr after structural relaxation. Source: Alexandria via LeMat-Bulk, functional PBE-GGA.

Calculated values
**Final energy**: -2.68 eV per atom
**Formation energy from raw total energies**: -0.99 eV per atom
**Crystal system**: tetragonal

```
6
Lattice="-0.7901 4.5926 -2.9689 2.8284 -2.2244 -4.1935 -6.7994 -3.0781 -2.9503" Properties=species:S:1:pos:R:3 pbc="T T T"
K 0.5453 -0.7661 -6.4839
K -2.4703 -2.1324 -7.7961
K -3.4899 -3.3165 -4.2149
K -0.4739 -1.9504 -2.9028
S -0.5677 -3.7456 -5.6555
Br -5.7750 -1.8768 -6.5186
```


Entry 9:
ScFe2ReW after structural relaxation. Source: Alexandria via LeMat-Bulk, functional PBE-GGA.

Calculated values
**Final energy**: -8.52 eV per atom
**Energy of formation**: 1.213 eV per atom
**Crystal system**: tetragonal

```
5
Lattice="4.4730 0.0000 0.0000 0.0000 4.7982 0.0000 0.0000 0.0000 4.4730" Properties=species:S:1:pos:R:3 pbc="T T T"
Sc 2.2365 2.3991 2.2365
Re 0.0000 2.3991 0.0000
Fe 0.0000 0.0000 2.2365
Fe 2.2365 0.0000 0.0000
W 0.0000 0.0000 0.0000
```


Entry 10:
SiHg2Cl2 after structural relaxation. Source: Alexandria via LeMat-Bulk, functional PBE-GGA.

Calculated values
**Final energy**: -1.90 eV per atom
**Formation energy from raw total energies**: 0.04 eV per atom
**Crystal system**: tetragonal

```
5
Lattice="-4.0757 4.0757 4.0089 4.0757 -4.0757 4.0089 4.0757 4.0757 -4.0089" Properties=species:S:1:pos:R:3 pbc="T T T"
Si 0.0000 0.0000 0.0000
Hg 0.0000 4.0757 2.0044
Hg 4.0757 0.0000 2.0044
Cl 0.0000 0.0000 5.8050
Cl 0.0000 0.0000 2.2127
```


Entry 11:
NdCdAgHg after structural relaxation. Source: Alexandria via LeMat-Bulk, functional PBE-GGA.

Calculated values
**Final energy**: -2.57 eV per atom
**Energy of formation**: -0.356 eV per atom
**Crystal system**: cubic

```
4
Lattice="5.1068 0.0000 0.0000 2.5534 4.4226 0.0000 2.5534 1.4742 4.1696" Properties=species:S:1:pos:R:3 pbc="T T T"
Nd 5.1068 2.9484 2.0848
Hg 7.6601 4.4226 3.1272
Ag 2.5534 1.4742 1.0424
Cd 0.0000 0.0000 0.0000
```


Entry 12:
TbSc4Ga4 after structural relaxation. Source: Alexandria via LeMat-Bulk, functional PBE-GGA.

Calculated values
**Final energy**: -5.00 eV per atom
**Energy of formation**: -0.329 eV per atom
**Crystal system**: tetragonal

```
18
Lattice="-4.0483 0.1885 -3.7590 -2.0175 -8.4302 1.7500 -5.6732 2.6537 6.2429" Properties=species:S:1:pos:R:3 pbc="T T T"
Tb 0.0000 0.0000 0.0000
Tb -5.8695 -2.7940 2.1170
Sc -7.3276 -0.3832 4.7712
Sc -9.5294 -2.6749 2.9634
Sc -3.4522 -5.2495 0.3534
Sc -4.2151 0.2429 3.5887
Sc -8.0791 -5.7072 3.3875
Sc -4.4348 -5.9748 3.5135
Sc -5.2986 -2.7693 -1.5978
Sc -4.6191 0.1638 -0.0443
Ga -6.1134 -5.5690 1.3067
Ga -6.5557 0.0243 2.0635
Ga -6.2411 -5.3274 5.5204
Ga -9.0353 0.0239 2.5374
Ga -5.8218 -5.4667 -1.1988
Ga -3.4897 -2.3882 0.5081
Ga -7.3192 -3.2432 4.5894
Ga -2.3798 -0.4059 1.6088
```